# meta-GGA SCAN NbAlS3, single point on PBEsol structure
data_NbAlS3
_cell_length_a 4.7826
_cell_length_b 4.7826
_cell_length_c 4.7826
_cell_angle_alpha 90.00
_cell_angle_beta 90.00
_cell_angle_gamma 90.00
_symmetry_space_group_name_H-M 'P m -3 m'
_symmetry_Int_Tables_number 221
_symmetry_space_group_name_Hall '-P 4 2 3'
loop_
_atom_site_label
_atom_site_fract_x
_atom_site_fract_y
_atom_site_fract_z
_atom_site_occupancy
Nb1 0.0000 0.0000 0.0000 1
Al1 0.5000 0.5000 0.5000 1
S1 0.0000 0.0000 0.5000 1
# total moment: 0.00 μB per formula unit
# ΔE_f (raw): -7.36 kcal/mol of atoms
# uncorrected energy: -14.2723 eV/atom